(1)
# K2MnRh (GGA-PBE, relaxed)
# Calculated volume (A^3/atom): 24.7
# Space group: F-43m (216)
# Magnetic moment (μB/cell): 5.006
# Formation energy from the elements (eV per atom): 0.8141
data_K2MnRh
_cell_length_a 5.191
_cell_length_b 5.191
_cell_length_c 5.191
_cell_angle_alpha 119.98
_cell_angle_beta 119.98
_cell_angle_gamma 90.03
_symmetry_space_group_name_H-M 'P 1'
_symmetry_Int_Tables_number 1
loop_
_symmetry_equiv_pos_as_xyz
'x,y,z'
loop_
_atom_site_label
_atom_site_type_symbol
_atom_site_fract_x
_atom_site_fract_y
_atom_site_fract_z
K1 K 0.000 0.000 0.000
K2 K 0.250 0.750 0.500
Mn1 Mn 0.500 0.500 0.000
Rh1 Rh 0.750 0.250 0.500

(2)
# KMnRh4 (GGA-PBE, relaxed)
# Calculated volume (A^3/atom): 17.4
# Space group: F-43m (216)
# Magnetic moment (μB/cell): 3.351
# Formation energy from the elements (eV per atom): 0.4728
data_KMnRh4
_cell_length_a 5.289
_cell_length_b 5.289
_cell_length_c 5.289
_cell_angle_alpha 60.00
_cell_angle_beta 60.00
_cell_angle_gamma 60.00
_symmetry_space_group_name_H-M 'P 1'
_symmetry_Int_Tables_number 1
loop_
_symmetry_equiv_pos_as_xyz
'x,y,z'
loop_
_atom_site_label
_atom_site_type_symbol
_atom_site_fract_x
_atom_site_fract_y
_atom_site_fract_z
K1 K 0.750 0.750 0.750
Mn1 Mn 0.000 0.000 0.000
Rh1 Rh 0.876 0.375 0.375
Rh2 Rh 0.375 0.375 0.876
Rh3 Rh 0.375 0.876 0.375
Rh4 Rh 0.375 0.375 0.375

(3)
# KMn2Rh (GGA-PBE, relaxed)
# Calculated volume (A^3/atom): 18.0
# Space group: Cmmm (65)
# Magnetic moment (μB/cell): 8.346
# Formation energy from the elements (eV per atom): 0.9012
data_KMn2Rh
_cell_length_a 4.982
_cell_length_b 4.982
_cell_length_c 3.007
_cell_angle_alpha 90.00
_cell_angle_beta 90.00
_cell_angle_gamma 105.83
_symmetry_space_group_name_H-M 'P 1'
_symmetry_Int_Tables_number 1
loop_
_symmetry_equiv_pos_as_xyz
'x,y,z'
loop_
_atom_site_label
_atom_site_type_symbol
_atom_site_fract_x
_atom_site_fract_y
_atom_site_fract_z
K1 K 0.000 0.500 0.500
Mn1 Mn 0.000 0.000 0.000
Mn2 Mn 0.500 0.500 0.000
Rh1 Rh 0.500 0.000 0.500

(4)
# KMnRh3 (GGA-PBE, relaxed)
# Calculated volume (A^3/atom): 19.2
# Space group: Pm-3m (221)
# Magnetic moment (μB/cell): 0.000
# Formation energy from the elements (eV per atom): 0.7960
data_KMnRh3
_cell_length_a 4.576
_cell_length_b 4.576
_cell_length_c 4.576
_cell_angle_alpha 90.00
_cell_angle_beta 90.00
_cell_angle_gamma 90.00
_symmetry_space_group_name_H-M 'P 1'
_symmetry_Int_Tables_number 1
loop_
_symmetry_equiv_pos_as_xyz
'x,y,z'
loop_
_atom_site_label
_atom_site_type_symbol
_atom_site_fract_x
_atom_site_fract_y
_atom_site_fract_z
K1 K 0.500 0.500 0.500
Mn1 Mn 0.000 0.000 0.000
Rh1 Rh 0.000 0.500 0.000
Rh2 Rh 0.000 0.000 0.500
Rh3 Rh 0.500 0.000 0.000